The following is a PBE calculation of an optimized crystal structure of MgTiH3, from Alexandria via LeMat-Bulk.

Properties
magnetic moment = 0.00 μB/f.u.
density of states at the Fermi level = 2.50 states/eV/f.u.
polymorph energy (0 for the lowest one) = 0.000 eV per atom
final energy = -4.03 eV per atom
space group = Pm-3m (221)

Cell: 3.6187 3.6187 3.6187 Å, 90.00 90.00 90.00°
Fractional positions:
Ti (0.0000, 0.0000, 0.0000)
H (0.0000, 0.0000, 0.5000)
H (0.5000, 0.0000, 0.0000)
H (0.0000, 0.5000, 0.0000)
Mg (0.5000, 0.5000, 0.5000)


The following is a PBE calculation of an optimized crystal structure of YCoI, from Alexandria via LeMat-Bulk.

Properties
magnetic moment = 0.28 μB/f.u.
density of states at the Fermi level = 1.90 states/eV/f.u.
final energy = -5.83 eV per atom
raw formation energy = -2.37 eV per formula unit
space group = Cm (8)

Cell: 3.9849 3.9848 12.5405 Å, 81.02 80.86 60.00°
Fractional positions:
Co (0.4360, 0.1222, 0.0058)
Y (0.1536, 0.8364, 0.8564)
I (0.3256, 0.0179, 0.3309)
Y (0.0520, 0.7409, 0.1551)
Co (0.7694, 0.4554, 0.0058)
I (0.5467, 0.2260, 0.6806)


The following is a PBE calculation of an optimized crystal structure of AlPS2Cl, from Alexandria via LeMat-Bulk.

Properties
magnetic moment = 0.50 μB/f.u.
density of states at the Fermi level = 3.35 states/eV/f.u.
polymorph energy (0 for the lowest one) = 0.200 eV per atom
final energy = -3.46 eV per atom
raw formation energy = 1.97 eV per formula unit
space group = P4/mmm (123)

Cell: 4.4746 4.4746 5.1143 Å, 90.00 90.00 90.00°
Fractional positions:
P (0.0000, 0.0000, 0.5000)
S (0.5000, 0.0000, 0.0000)
S (0.0000, 0.5000, 0.0000)
Al (0.0000, 0.0000, 0.0000)
Cl (0.5000, 0.5000, 0.5000)


The following is a PBE calculation of an optimized crystal structure of Ce2GeRu, from Alexandria via LeMat-Bulk.

Properties
magnetic moment = 0.00 μB/f.u.
density of states at the Fermi level = 5.05 states/eV/f.u.
final energy = -6.93 eV per atom
energy of formation = -491 meV/atom
space group = P4/mmm (123)

Cell: 4.1683 4.4430 4.4430 Å, 90.00 90.00 90.00°
Fractional positions:
Ru (0.5000, 0.5000, 0.5000)
Ce (0.0000, 0.5000, 0.0000)
Ce (0.0000, 0.0000, 0.5000)
Ge (0.5000, 0.0000, 0.0000)